1.
The following is a DFT calculation (PBE-GGA) of a geometry-optimized CuTcMo structure.

abc: 4.372 4.372 2.606
angles: 90.00 90.00 120.00
Element x y z (fractional)
Cu (0.000, 0.000, 0.000)
Tc (0.333, 0.667, 0.635)
Mo (0.667, 0.333, 0.368)

Results
relative energy among the computed polymorphs = 0.0 meV per atom
V = 14.4 Å³/atom
N(E_F) = 1.3 states/eV/cell
space-group type = P3m1 (156)

2.
The following is a DFT calculation (PBE-GGA) of a geometry-optimized Cu3TcMo structure.

abc: 4.551 4.551 4.551
angles: 90.00 90.00 90.00
Element x y z (fractional)
Cu (0.000, 0.000, 0.500)
Cu (0.000, 0.500, 0.000)
Cu (0.500, 0.000, 0.000)
Tc (0.000, 0.000, 0.000)
Mo (0.500, 0.500, 0.500)

Results
relative energy among the computed polymorphs = 0.0 meV per atom
V = 18.8 Å³/atom
N(E_F) = 5.5 states/eV/cell
space-group type = Pm-3m (221)

3.
The following is a DFT calculation (PBE-GGA) of a geometry-optimized CuTcMo structure.

abc: 6.484 6.484 6.484
angles: 156.61 156.61 33.32
Element x y z (fractional)
Cu (0.000, 0.000, 0.000)
Tc (0.659, 0.659, 0.000)
Mo (0.336, 0.336, 0.000)

Results
relative energy among the computed polymorphs = 163.5 meV per atom
V = 14.3 Å³/atom
N(E_F) = 3.3 states/eV/cell
space-group type = I4mm (107)

4.
The following is a DFT calculation (PBE-GGA) of a geometry-optimized CuTcMo structure.

abc: 6.769 6.617 2.655
angles: 81.78 75.37 22.84
Element x y z (fractional)
Cu (0.000, 0.000, 0.000)
Tc (0.335, 0.335, 0.665)
Mo (0.667, 0.667, 0.333)

Results
relative energy among the computed polymorphs = 116.6 meV per atom
V = 14.5 Å³/atom
N(E_F) = 2.8 states/eV/cell
space-group type = Fmm2 (42)

5.
The following is a DFT calculation (PBE-GGA) of a geometry-optimized CuTcMo structure.

abc: 4.172 4.172 4.172
angles: 60.00 60.00 60.00
Element x y z (fractional)
Cu (0.000, 0.000, 0.000)
Tc (0.250, 0.250, 0.250)
Mo (0.500, 0.500, 0.500)

Results
relative energy among the computed polymorphs = 648.7 meV per atom
V = 17.1 Å³/atom
N(E_F) = 2.3 states/eV/cell
space-group type = F-43m (216)

6.
The following is a DFT calculation (PBE-GGA) of a geometry-optimized CuTcMo3 structure.

abc: 4.451 4.451 4.451
angles: 90.00 90.00 90.00
Element x y z (fractional)
Cu (0.000, 0.000, 0.000)
Tc (0.500, 0.500, 0.500)
Mo (0.000, 0.000, 0.500)
Mo (0.000, 0.500, 0.000)
Mo (0.500, 0.000, 0.000)

Results
relative energy among the computed polymorphs = 14.3 meV per atom
V = 17.6 Å³/atom
N(E_F) = 9.3 states/eV/cell
space-group type = Pm-3m (221)

7.
The following is a DFT calculation (PBE-GGA) of a geometry-optimized CuTcMo structure.

abc: 4.718 4.718 4.718
angles: 148.14 128.59 61.76
Element x y z (fractional)
Cu (0.000, 0.000, 0.000)
Tc (0.340, 0.340, 0.000)
Mo (0.665, 0.665, 0.000)

Results
relative energy among the computed polymorphs = 22.0 meV per atom
V = 14.3 Å³/atom
N(E_F) = 2.0 states/eV/cell
space-group type = Imm2 (44)

8.
The following is a DFT calculation (PBE-GGA) of a geometry-optimized CuTcMo4 structure.

abc: 5.146 5.146 5.146
angles: 60.00 60.00 60.00
Element x y z (fractional)
Cu (0.000, 0.000, 0.000)
Tc (0.250, 0.250, 0.250)
Mo (0.122, 0.626, 0.626)
Mo (0.626, 0.122, 0.626)
Mo (0.626, 0.626, 0.122)
Mo (0.626, 0.626, 0.626)

Results
V = 16.1 Å³/atom
N(E_F) = 2.5 states/eV/cell
space-group type = F-43m (216)

Computed values of E_tot (unit: eV/cell) for the preceding records, in sequence: -24.9, -24.7, -24.4, -24.5, -23.0, -38.2, -24.8, -55.3.
Computed values of energy relative to the elements (unit: eV per atom) for the preceding records, in sequence: 0.13, 1.75, 0.30, 0.25, 0.78, 1.75, 0.15, 0.42.